Below is an optimized crystal structure of Mn2CoPdW, with properties calculated at the PBE-GGA level.

Lattice parameters (Å, degrees): 4.142 4.430 4.142 90.00 90.00 90.00
Atoms (fractional coordinates):
Mn: 0.000 0.000 0.500
Mn: 0.500 0.000 0.000
Pd: 0.500 0.500 0.500
Co: 0.000 0.000 0.000
W: 0.000 0.500 0.000

Properties
For the calculated total energy, the calculation gives -7.468 eV/atom. For the total magnetization, the calculation gives 0.000 μB per atom. The value obtained for the calculated volume is 76.0 Å³/cell. As for the density of states at the Fermi level: 8.6 states/eV/f.u. Its formation energy from the elements is 6.25 eV per formula unit.